! TlCuNi2 | the Alexandria database | GGA-PBE | relaxed; values from VASP
&SYSTEM
  ibrav = 0, nat = 4, ntyp = 3
/
ATOMIC_SPECIES
Tl 204.38 Tl.upf
Cu 63.55 Cu.upf
Ni 58.69 Ni.upf
CELL_PARAMETERS angstrom
1.489 0.860 7.802
-1.489 0.860 7.802
0.000 -1.720 7.802
ATOMIC_POSITIONS crystal
Tl 0.000 0.000 0.000
Cu 0.500 0.500 0.500
Ni 0.243 0.243 0.243
Ni 0.757 0.757 0.757
! Energy above the lowest structure with this stoichiometry, kJ/mol of formula units: 108.8
! Energy of formation, eV per atom: 0.46
! SG: R-3m